DFT (SCAN) results for a crystal of Tl2RuBr relaxed with PBEsol.

a = 7.2937 Å, b = 7.2937 Å, c = 7.2937 Å
α = 155.34°, β = 143.32°, γ = 44.70°
Sites, in units of the cell vectors:
1 Tl 0.0000 0.0000 0.0000
2 Tl 0.6757 0.1757 0.5000
3 Ru 0.4753 0.4753 0.0000
4 Br 0.3261 0.8261 0.5000

Values from the calculation:
- Total moment: 0.000 μB per formula unit
- ΔE_f (raw): 294.8 meV/atom
- N(E_F): 2.12 states/eV/f.u.

DFT (SCAN) results for a crystal of Tl2RuBr relaxed with PBEsol.

a = 5.6435 Å, b = 5.6435 Å, c = 5.6435 Å
α = 134.91°, β = 134.91°, γ = 65.67°
Sites, in units of the cell vectors:
1 Tl 0.2500 0.7500 0.5000
2 Tl 0.7500 0.2500 0.5000
3 Ru 0.0000 0.0000 0.0000
4 Br 0.5000 0.5000 0.0000

Values from the calculation:
- Total moment: 1.928 μB per formula unit
- ΔE_f (raw): 618.7 meV/atom
- N(E_F): 1.56 states/eV/f.u.

DFT (SCAN) results for a crystal of TlRu2Br relaxed with PBEsol.

a = 4.5789 Å, b = 4.5789 Å, c = 3.1660 Å
α = 90.00°, β = 90.00°, γ = 90.00°
Sites, in units of the cell vectors:
1 Tl 0.0000 0.0000 0.0000
2 Ru 0.0000 0.5000 0.5000
3 Ru 0.5000 0.0000 0.5000
4 Br 0.5000 0.5000 0.0000

Values from the calculation:
- Total moment: 0.000 μB per formula unit
- ΔE_f (raw): 1044.9 meV/atom
- N(E_F): 2.43 states/eV/f.u.

DFT (SCAN) results for a crystal of Tl2RuBr relaxed with PBEsol.

a = 5.4878 Å, b = 5.4878 Å, c = 6.2527 Å
α = 113.65°, β = 113.65°, γ = 32.94°
Sites, in units of the cell vectors:
1 Tl 0.0000 0.0000 0.0000
2 Tl 0.1510 0.1510 0.5987
3 Ru 0.4159 0.4159 0.5872
4 Br 0.8038 0.8038 0.2535

Values from the calculation:
- Total moment: 0.000 μB per formula unit
- ΔE_f (raw): 275.3 meV/atom
- N(E_F): 2.85 states/eV/f.u.

DFT (SCAN) results for a crystal of TlRu2Br relaxed with PBEsol.

a = 5.3377 Å, b = 5.3377 Å, c = 5.3377 Å
α = 137.40°, β = 137.40°, γ = 61.83°
Sites, in units of the cell vectors:
1 Tl 0.0000 0.0000 0.0000
2 Ru 0.2500 0.7500 0.5000
3 Ru 0.5000 0.5000 0.0000
4 Br 0.7500 0.2500 0.5000

Values from the calculation:
- Total moment: 0.014 μB per formula unit
- ΔE_f (raw): 1183.2 meV/atom
- N(E_F): 5.16 states/eV/f.u.

DFT (SCAN) results for a crystal of Tl2RuWBr relaxed with PBEsol.

a = 5.3895 Å, b = 5.3895 Å, c = 4.6617 Å
α = 90.00°, β = 90.00°, γ = 90.00°
Sites, in units of the cell vectors:
1 Tl 0.0000 0.5000 0.0000
2 Tl 0.5000 0.0000 0.0000
3 Ru 0.0000 0.0000 0.5000
4 W 0.5000 0.5000 0.0000
5 Br 0.5000 0.5000 0.5000

Values from the calculation:
- Total moment: 3.555 μB per formula unit
- ΔE_f (raw): 1523.6 meV/atom
- N(E_F): 2.80 states/eV/f.u.

DFT (SCAN) results for a crystal of RuWBr relaxed with PBEsol.

a = 2.9512 Å, b = 2.9512 Å, c = 6.3516 Å
α = 90.00°, β = 90.00°, γ = 120.00°
Sites, in units of the cell vectors:
1 Ru 0.0000 0.0000 0.0000
2 W 0.6667 0.3333 0.6912
3 Br 0.3333 0.6667 0.3641

Values from the calculation:
- Total moment: 0.000 μB per formula unit
- ΔE_f (raw): 623.9 meV/atom
- N(E_F): 1.36 states/eV/f.u.

DFT (SCAN) results for a crystal of RuWBr2 relaxed with PBEsol.

a = 8.9772 Å, b = 8.9772 Å, c = 8.9772 Å
α = 160.31°, β = 158.94°, γ = 28.99°
Sites, in units of the cell vectors:
1 Ru 0.0000 0.0000 0.0000
2 W 0.4060 0.9060 0.5000
3 Br 0.6019 0.6019 0.0000
4 Br 0.8044 0.3044 0.5000

Values from the calculation:
- Total moment: 0.000 μB per formula unit
- ΔE_f (raw): 401.6 meV/atom
- N(E_F): 2.01 states/eV/f.u.

Looking at uncorrected energy for the records above, in order, we have -49.4558; -49.1319; -39.3227; -49.4753; -39.1844; -52.2145; -40.7006; -35.4568 eV per atom.
Looking at calculated volume for the records above, in order, we have 96.45; 88.81; 66.38; 93.00; 68.88; 135.41; 47.91; 87.54 Å³ per cell.